Record 1
Density functional theory data (PBE-GGA) for a relaxed HoPaTcPt crystal.

ΔE_f: -12.072 kcal/mol of atoms
Density: 13.8 Mg/m³
E: -8.1436 eV/atom

Lattice parameters (Å, degrees): 4.8940 4.8940 4.8940 60.00 60.00 60.00
Last column: nearest neighbours and their distance in Å.
Atoms (fractional coordinates):
Pa: 0.2500 0.2500 0.2500  4 Pt 3.00, 4 Tc 3.00
Ho: 0.7500 0.7500 0.7500  4 Tc 3.00, 4 Pt 3.00
Pt: 0.5000 0.5000 0.5000  4 Ho 3.00, 4 Pa 3.00
Tc: 0.0000 0.0000 0.0000  4 Pa 3.00, 4 Ho 3.00

=====

Record 2
Density functional theory data (PBE-GGA) for a relaxed PRuO2 crystal.

Density: 6.3 Mg/m³
E: -6.2480 eV/atom

Lattice parameters (Å, degrees): 3.6474 3.6474 7.0188 74.94 74.94 90.00
Last column: nearest neighbours and their distance in Å.
Atoms (fractional coordinates):
Ru: 0.0000 0.0000 0.0000  4 O 2.07
Ru: 0.7500 0.2500 0.5000  4 O 2.07
O: 0.6317 0.1250 0.2500  2 Ru 2.07, 2 P 2.09
O: 0.1183 0.6250 0.2500  2 Ru 2.07, 2 P 2.09
O: 0.3750 0.3683 0.7500  2 Ru 2.07, 2 P 2.09
O: 0.8750 0.8817 0.7500  2 Ru 2.07, 2 P 2.09
P: 0.5000 0.5000 0.0000  4 O 2.09
P: 0.2500 0.7500 0.5000  4 O 2.09

=====

Record 3
Density functional theory data (PBE-GGA) for a relaxed Cs2ScAuBr6 crystal.

Density: 4.7 Mg/m³
E: -3.5214 eV/atom

Lattice parameters (Å, degrees): 7.7488 7.7488 7.9790 60.95 60.95 90.00
Last column: nearest neighbours and their distance in Å.
Atoms (fractional coordinates):
Cs: 0.7500 0.2500 0.5000  12 Br 3.88-3.99
Cs: 0.2500 0.7500 0.5000  12 Br 3.88-3.99
Sc: 0.5000 0.5000 0.0000  6 Br 2.65-2.69
Au: 0.0000 0.0000 0.0000  4 Br 2.79
Br: 0.2714 0.2714 0.4573  1 Sc 2.65
Br: 0.7286 0.7286 0.5427  1 Sc 2.65
Br: 0.2543 0.2543 0.0000  1 Sc 2.69, 1 Au 2.79
Br: 0.7457 0.7457 0.0000  1 Sc 2.69, 1 Au 2.79
Br: 0.7457 0.2543 0.0000  1 Sc 2.69, 1 Au 2.79
Br: 0.2543 0.7457 0.0000  1 Sc 2.69, 1 Au 2.79

=====

Record 4
Density functional theory data (PBE-GGA) for a relaxed SrPa2RuN5 crystal.

Density: 9.3 Mg/m³
E: -8.9967 eV/atom

Lattice parameters (Å, degrees): 6.6381 6.6381 7.5043 116.25 116.25 90.00
Last column: nearest neighbours and their distance in Å.
Atoms (fractional coordinates):
Sr: 0.2500 0.2500 0.5000  10 N 2.93-2.94
Sr: 0.7500 0.7500 0.5000  10 N 2.93-2.94
Pa: 0.1838 0.3162 0.0000  4 N 2.22-2.43
Pa: 0.6838 0.1838 0.0000  4 N 2.22-2.43
Pa: 0.3162 0.8162 0.0000  4 N 2.22-2.43
Pa: 0.8162 0.6838 0.0000  4 N 2.22-2.43
Ru: 0.2500 0.7500 0.5000  4 N 1.95
Ru: 0.7500 0.2500 0.5000  4 N 1.95
N: 0.9864 0.4864 0.2536  1 Ru 1.95
N: 0.7328 0.2328 0.7464  1 Ru 1.95
N: 0.0136 0.5136 0.7464  1 Ru 1.95
N: 0.2328 0.0136 0.7464  1 Ru 1.95
N: 0.5136 0.7328 0.7464  1 Ru 1.95
N: 0.7672 0.9864 0.2536  1 Ru 1.95
N: 0.4864 0.2672 0.2536  1 Ru 1.95
N: 0.2672 0.7672 0.2536  1 Ru 1.95
N: 0.5000 0.5000 0.0000  4 Pa 2.43
N: 0.0000 0.0000 0.0000  4 Pa 2.43

=====

Record 5
Density functional theory data (PBE-GGA) for a relaxed Cd2WSe crystal.

Density: 10.0 Mg/m³
E: -4.0767 eV/atom

Lattice parameters (Å, degrees): 2.8298 2.8298 10.3654 90.00 90.00 101.85
Last column: nearest neighbours and their distance in Å.
Atoms (fractional coordinates):
Cd: 0.0000 0.0000 0.9722  4 Cd 2.83, 2 W 2.91
Cd: 0.0000 0.0000 0.5278  4 Cd 2.83, 2 W 2.91
Se: 0.5000 0.5000 0.2500  4 Se 2.83
W: 0.5000 0.5000 0.7500  4 W 2.83, 4 Cd 2.91

=====

Record 6
Density functional theory data (PBE-GGA) for a relaxed Mg2TiCu crystal.

ΔE_f: 4.975 kcal/mol of atoms
ΔE to the lowest computed polymorph: 0.162 eV/atom
Density: 3.9 Mg/m³
E: -3.5793 eV/atom

Lattice parameters (Å, degrees): 4.6036 4.6036 4.6036 60.00 60.00 60.00
Last column: nearest neighbours and their distance in Å.
Atoms (fractional coordinates):
Mg: 0.2500 0.2500 0.2500  4 Cu 2.82, 4 Ti 2.82
Mg: 0.7500 0.7500 0.7500  4 Cu 2.82, 4 Ti 2.82
Cu: 0.5000 0.5000 0.5000  8 Mg 2.82
Ti: 0.0000 0.0000 0.0000  8 Mg 2.82

=====

Record 7
Density functional theory data (PBE-GGA) for a relaxed Pm3Nd2Ho6Pu crystal.

ΔE_f: 5.646 kcal/mol of atoms
Density: 8.5 Mg/m³
E: -5.2207 eV/atom

Lattice parameters (Å, degrees): 6.1802 6.1802 11.7085 95.09 95.09 120.11
Last column: nearest neighbours and their distance in Å.
Atoms (fractional coordinates):
Pm: 0.1677 0.8323 0.5000  6 Pm 3.55-3.59, 6 Ho 3.57-3.60
Pm: 0.8323 0.1677 0.5000  6 Pm 3.55-3.59, 6 Ho 3.57-3.60
Pm: 0.5000 0.5000 0.5000  6 Pm 3.56-3.57, 6 Ho 3.57-3.59
Nd: 0.3341 0.6659 0.0000  6 Ho 3.51-3.52, 3 Nd 3.55-3.57, 3 Pu 3.56-3.58
Nd: 0.6659 0.3341 0.0000  6 Ho 3.51-3.52, 3 Nd 3.55-3.57, 3 Pu 3.56-3.58
Ho: 0.9185 0.5917 0.7542  1 Pu 3.48, 6 Ho 3.50-3.61, 2 Nd 3.52, 3 Pm 3.57-3.60
Ho: 0.7540 0.7540 0.2466  1 Pu 3.49, 6 Ho 3.50-3.61, 2 Nd 3.51, 3 Pm 3.57-3.59
Ho: 0.0815 0.4083 0.2458  1 Pu 3.48, 6 Ho 3.50-3.61, 2 Nd 3.52, 3 Pm 3.57-3.60
Ho: 0.5917 0.9185 0.7542  1 Pu 3.48, 6 Ho 3.50-3.61, 2 Nd 3.52, 3 Pm 3.57-3.60
Ho: 0.2460 0.2460 0.7534  1 Pu 3.49, 6 Ho 3.50-3.61, 2 Nd 3.51, 3 Pm 3.57-3.59
Ho: 0.4083 0.0815 0.2458  1 Pu 3.48, 6 Ho 3.50-3.61, 2 Nd 3.52, 3 Pm 3.57-3.60
Pu: 0.0000 0.0000 0.0000  6 Ho 3.48-3.49, 6 Nd 3.56-3.58

=====

Record 8
Density functional theory data (PBE-GGA) for a relaxed Ca2MgZn2Pd5 crystal.

ΔE_f: -14.733 kcal/mol of atoms
Density: 7.0 Mg/m³
E: -4.0498 eV/atom

Lattice parameters (Å, degrees): 3.6694 9.9471 9.9471 90.00 90.00 90.00
Last column: nearest neighbours and their distance in Å.
Atoms (fractional coordinates):
Ca: 0.0000 0.6742 0.1742  3 Zn 2.82-3.02, 2 Pd 3.06
Ca: 0.0000 0.3258 0.8258  3 Zn 2.82-3.02, 2 Pd 3.06
Ca: 0.0000 0.1742 0.3258  3 Zn 2.82-3.02, 2 Pd 3.06
Ca: 0.0000 0.8258 0.6742  3 Zn 2.82-3.02, 2 Pd 3.06
Mg: 0.0000 0.0000 0.0000  8 Pd 2.81
Mg: 0.0000 0.5000 0.5000  8 Pd 2.81
Zn: 0.0000 0.1250 0.6250  6 Pd 2.54-2.58, 1 Ca 2.82
Zn: 0.0000 0.8750 0.3750  6 Pd 2.54-2.58, 1 Ca 2.82
Zn: 0.0000 0.6250 0.8750  6 Pd 2.54-2.58, 1 Ca 2.82
Zn: 0.0000 0.3750 0.1250  6 Pd 2.54-2.58, 1 Ca 2.82
Pd: 0.5000 0.2034 0.0650  2 Zn 2.58, 2 Mg 2.81
Pd: 0.5000 0.7966 0.9350  2 Zn 2.58, 2 Mg 2.81
Pd: 0.5000 0.0650 0.7966  2 Zn 2.58, 2 Mg 2.81
Pd: 0.5000 0.7034 0.4350  2 Zn 2.58, 2 Mg 2.81
Pd: 0.5000 0.9350 0.2034  2 Zn 2.58, 2 Mg 2.81
Pd: 0.5000 0.2966 0.5650  2 Zn 2.58, 2 Mg 2.81
Pd: 0.5000 0.5650 0.7034  2 Zn 2.58, 2 Mg 2.81
Pd: 0.5000 0.4350 0.2966  2 Zn 2.58, 2 Mg 2.81
Pd: 0.5000 0.5000 0.0000  4 Zn 2.54
Pd: 0.5000 0.0000 0.5000  4 Zn 2.54